# Th4Te3Ru (GGA-PBE, optimized geometry)
data_Th4Te3Ru
_chemical_formula_sum 'Th8 Te6 Ru2'
_symmetry_space_group_name_H-M 'P 1'
_symmetry_Int_Tables_number 1
_cell_length_a 7.4611
_cell_length_b 7.9010
_cell_length_c 8.9293
_cell_angle_alpha 90.00
_cell_angle_beta 90.00
_cell_angle_gamma 109.07
loop_
_symmetry_equiv_pos_as_xyz
'x,y,z'
loop_
_atom_site_label
_atom_site_fract_x
_atom_site_fract_y
_atom_site_fract_z
Ru1 0.7500 0.0000 0.8789
Ru2 0.2500 0.0000 0.1211
Te1 0.7500 0.0000 0.3719
Te2 0.2500 0.0000 0.6281
Te3 0.7500 0.5000 0.6185
Te4 0.7500 0.5000 0.1292
Te5 0.2500 0.5000 0.3815
Te6 0.2500 0.5000 0.8708
Th1 0.9738 0.2227 0.6460
Th2 0.5126 0.2066 0.8939
Th3 0.4738 0.2227 0.3540
Th4 0.0126 0.2066 0.1061
Th5 0.9874 0.7934 0.8939
Th6 0.5262 0.7773 0.6460
Th7 0.4874 0.7934 0.1061
Th8 0.0262 0.7773 0.3540
# Calculated volume   31.09 Å³ per atom
# Density   9.4 g/cm3

# CsLi2F2 (GGA-PBE, optimized geometry)
data_CsLi2F2
_chemical_formula_sum 'Cs2 Li4 F4'
_symmetry_space_group_name_H-M 'P 1'
_symmetry_Int_Tables_number 1
_cell_length_a 8.1701
_cell_length_b 8.1701
_cell_length_c 3.1636
_cell_angle_alpha 90.00
_cell_angle_beta 90.00
_cell_angle_gamma 90.00
loop_
_symmetry_equiv_pos_as_xyz
'x,y,z'
loop_
_atom_site_label
_atom_site_fract_x
_atom_site_fract_y
_atom_site_fract_z
Cs1 0.0000 0.0000 0.0000
Cs2 0.5000 0.5000 0.0000
Li1 0.0881 0.5881 0.5000
Li2 0.5881 0.9119 0.5000
Li3 0.9119 0.4119 0.5000
Li4 0.4119 0.0881 0.5000
F1 0.3958 0.8958 0.0000
F2 0.8958 0.6042 0.0000
F3 0.6042 0.1042 0.0000
F4 0.1042 0.3958 0.0000
# Calculated volume   21.12 Å³ per atom
# Density   2.9 g/cm3

Uncorrected formation energy? In order: -7.7 -8.1 eV/f.u..